The following is a PBE with a Hubbard U calculation of an optimized crystal structure of CaPmVO5, from Alexandria via LeMat-Bulk.

The volume is 15.9 Å³ per atom. The total DFT energy (no corrections) comes out at -120.96 eV/cell. The space group is C2/c (15).

Unit cell a=5.9620 b=5.9620 c=7.9620 alpha=102.08 beta=102.08 gamma=105.97
Closest atoms and distances in Å follow each position.
Positions (direct):
O: 0.9195 0.3475 0.1556  1 V 1.75
O: 0.8910 0.1090 0.7500  1 Ca 2.15, 2 Pm 2.24
O: 0.5901 0.7147 0.9106  1 V 1.74
O: 0.7147 0.5901 0.4106  1 V 1.74
O: 0.2853 0.4099 0.5894  1 V 1.74
O: 0.6525 0.0805 0.3444  1 V 1.75
O: 0.0805 0.6525 0.8444  1 V 1.75
O: 0.4099 0.2853 0.0894  1 V 1.74
Pm: 0.0000 0.0000 0.5000  6 O 2.24-2.42
Ca: 0.3344 0.6656 0.2500  1 O 2.15
V: 0.3237 0.6763 0.7500  4 O 1.74-1.75
V: 0.6763 0.3237 0.2500  4 O 1.74-1.75
O: 0.1090 0.8910 0.2500  1 Ca 2.15, 2 Pm 2.24
O: 0.3475 0.9195 0.6556  1 V 1.75
Pm: 0.0000 0.0000 0.0000  6 O 2.24-2.42
Ca: 0.6656 0.3344 0.7500  1 O 2.15